1.
This record from Alexandria describes crystalline TmScBr6 at its relaxed geometry. The functional is GGA-PBE.

Output
For the magnetic moment, the calculation gives 0.00 μB per cell. The energy comes out at -4.3417 eV per atom. Its volume is 36.1 Å³ per atom. The calculation puts the distance to the lowest polymorph of the same formula at 0 meV per atom.

a = 6.7140 Å, b = 6.7140 Å, c = 7.5242 Å
α = 63.50°, β = 82.18°, γ = 72.24°
Sites, in units of the cell vectors:
Tm 0.5000 0.5000 0.0000
Sc 0.0000 0.0000 0.0000
Br 0.7584 0.3802 0.7215
Br 0.7584 0.1018 0.2785
Br 0.2416 0.8982 0.7215
Br 0.2416 0.6198 0.2785
Br 0.7546 0.7541 0.0000
Br 0.2454 0.2459 0.0000

---

2.
This record from Alexandria describes crystalline ScUBr6 at its relaxed geometry. The functional is GGA-PBE.

Output
For the magnetic moment, the calculation gives 3.00 μB per cell. The energy comes out at -4.9080 eV per atom. Its volume is 37.1 Å³ per atom.

a = 7.4247 Å, b = 7.4247 Å, c = 6.8766 Å
α = 98.03°, β = 98.03°, γ = 124.75°
Site moments in Bohr magnetons follow the coordinates.
Sites, in units of the cell vectors:
Sc 0.0000 0.0000 0.0000  0.15
U 0.5000 0.5000 0.5000  2.76
Br 0.2428 0.2428 0.7591  -0.01
Br 0.3770 0.0872 0.2338  -0.01
Br 0.7572 0.7572 0.2409  -0.01
Br 0.9128 0.6230 0.7662  -0.01
Br 0.6230 0.9128 0.7662  -0.01
Br 0.0872 0.3770 0.2338  -0.01

---

3.
This record from Alexandria describes crystalline ScVBr2 at its relaxed geometry. The functional is GGA-PBE.

Output
For the magnetic moment, the calculation gives 3.89 μB per cell. The energy comes out at -4.9127 eV per atom. Its volume is 25.5 Å³ per atom. The calculation puts the distance to the lowest polymorph of the same formula at 131 meV per atom.

a = 9.0433 Å, b = 9.0433 Å, c = 9.0433 Å
α = 23.35°, β = 23.35°, γ = 23.35°
Site moments in Bohr magnetons follow the coordinates.
Sites, in units of the cell vectors:
Sc 0.0000 0.0000 0.0000  0.38
Br 0.8932 0.8932 0.8932  -0.01
Br 0.1068 0.1068 0.1068  -0.01
V 0.5000 0.5000 0.5000  2.76

---

4.
This record from Alexandria describes crystalline ScVBr2 at its relaxed geometry. The functional is GGA-PBE.

Output
For the magnetic moment, the calculation gives 2.51 μB per cell. The energy comes out at -4.7965 eV per atom. Its volume is 19.3 Å³ per atom. The calculation puts the distance to the lowest polymorph of the same formula at 247 meV per atom.

a = 4.7781 Å, b = 4.7781 Å, c = 4.7781 Å
α = 60.00°, β = 60.00°, γ = 60.00°
Site moments in Bohr magnetons follow the coordinates.
Sites, in units of the cell vectors:
Sc 0.0000 0.0000 0.0000  -0.36
Br 0.2500 0.2500 0.2500  0.01
Br 0.7500 0.7500 0.7500  0.01
V 0.5000 0.5000 0.5000  2.52

---

5.
This record from Alexandria describes crystalline ScV2Br6 at its relaxed geometry. The functional is GGA-PBE.

Output
For the magnetic moment, the calculation gives 10.03 μB per cell. The energy comes out at -4.7950 eV per atom. Its volume is 26.9 Å³ per atom.

a = 6.7677 Å, b = 9.1339 Å, c = 9.1339 Å
α = 78.63°, β = 68.00°, γ = 68.00°
Site moments in Bohr magnetons follow the coordinates.
Sites, in units of the cell vectors:
Sc 0.2500 0.0858 0.9142  -0.37
Sc 0.7500 0.9142 0.0858  -0.37
V 0.9949 0.6692 0.8333  2.43
V 0.5051 0.1667 0.3308  2.43
V 0.0051 0.3308 0.1667  2.43
V 0.4949 0.8333 0.6692  2.43
Br 0.2902 0.7109 0.5693  -0.01
Br 0.2098 0.4307 0.2891  -0.01
Br 0.7098 0.2891 0.4307  -0.01
Br 0.7902 0.5693 0.7109  -0.01
Br 0.7767 0.8812 0.3810  -0.01
Br 0.7233 0.6190 0.1188  -0.01
Br 0.2233 0.1188 0.6190  -0.01
Br 0.2767 0.3810 0.8812  -0.01
Br 0.2156 0.7851 0.9628  -0.01
Br 0.2844 0.0372 0.2149  -0.01
Br 0.7844 0.2149 0.0372  -0.01
Br 0.7156 0.9628 0.7851  -0.01

---

6.
This record from Alexandria describes crystalline ScVBr2 at its relaxed geometry. The functional is GGA-PBE.

Output
For the magnetic moment, the calculation gives 8.20 μB per cell. The energy comes out at -4.8991 eV per atom. Its volume is 24.1 Å³ per atom. The calculation puts the distance to the lowest polymorph of the same formula at 144 meV per atom.

a = 4.7969 Å, b = 4.7969 Å, c = 9.0501 Å
α = 74.63°, β = 74.63°, γ = 90.00°
Site moments in Bohr magnetons follow the coordinates.
Sites, in units of the cell vectors:
Sc 0.5000 0.5000 0.0000  0.23
Sc 0.2500 0.7500 0.5000  0.23
Br 0.6317 0.1250 0.2500  -0.01
Br 0.1183 0.6250 0.2500  -0.01
Br 0.3750 0.3683 0.7500  -0.01
Br 0.8750 0.8817 0.7500  -0.01
V 0.0000 0.0000 0.0000  2.81
V 0.7500 0.2500 0.5000  2.81

---

7.
This record from Alexandria describes crystalline ScV3Br at its relaxed geometry. The functional is GGA-PBE.

Output
For the magnetic moment, the calculation gives 6.30 μB per cell. The energy comes out at -5.2769 eV per atom. Its volume is 22.6 Å³ per atom. The calculation puts the distance to the lowest polymorph of the same formula at 1027 meV per atom.

a = 4.8374 Å, b = 4.8374 Å, c = 4.8374 Å
α = 90.00°, β = 90.00°, γ = 90.00°
Site moments in Bohr magnetons follow the coordinates.
Sites, in units of the cell vectors:
Sc 0.0000 0.0000 0.0000  0.04
Br 0.5000 0.5000 0.5000  -0.01
V 0.0000 0.5000 0.0000  1.79
V 0.0000 0.0000 0.5000  1.79
V 0.5000 0.0000 0.0000  1.79

---

8.
This record from Alexandria describes crystalline Sc2VBr at its relaxed geometry. The functional is GGA-PBE.

Output
For the magnetic moment, the calculation gives 4.86 μB per cell. The energy comes out at -5.6047 eV per atom. Its volume is 22.2 Å³ per atom. The calculation puts the distance to the lowest polymorph of the same formula at 316 meV per atom.

a = 7.6381 Å, b = 7.6381 Å, c = 6.2012 Å
α = 51.99°, β = 51.99°, γ = 90.00°
Site moments in Bohr magnetons follow the coordinates.
Sites, in units of the cell vectors:
Sc 0.6554 0.1250 0.2500  -0.21
Sc 0.0946 0.6250 0.2500  -0.21
Sc 0.3750 0.3446 0.7500  -0.21
Sc 0.8750 0.9054 0.7500  -0.21
Br 0.0000 0.0000 0.0000  0.00
Br 0.7500 0.2500 0.5000  0.00
V 0.5000 0.5000 0.0000  2.51
V 0.2500 0.7500 0.5000  2.51

---

9.
This record from Alexandria describes crystalline ScV2Br8 at its relaxed geometry. The functional is GGA-PBE.

Output
For the magnetic moment, the calculation gives 5.00 μB per cell. The energy comes out at -4.4617 eV per atom. Its volume is 37.6 Å³ per atom.

a = 6.5861 Å, b = 8.2391 Å, c = 8.2391 Å
α = 68.65°, β = 84.93°, γ = 84.93°
Site moments in Bohr magnetons follow the coordinates.
Sites, in units of the cell vectors:
Sc 0.0000 0.0000 0.0000  0.20
V 0.6337 0.8281 0.8281  2.16
V 0.3663 0.1719 0.1719  2.16
Br 0.2233 0.2799 0.8818  -0.02
Br 0.7767 0.1182 0.7201  -0.02
Br 0.2574 0.8292 0.8292  -0.01
Br 0.7426 0.1708 0.1708  -0.01
Br 0.2233 0.8818 0.2799  -0.02
Br 0.7767 0.7201 0.1182  -0.02
Br 0.7250 0.6562 0.6562  -0.02
Br 0.2750 0.3438 0.3438  -0.02

---

10.
This record from Alexandria describes crystalline ScVBr2 at its relaxed geometry. The functional is GGA-PBE.

Output
For the magnetic moment, the calculation gives 3.54 μB per cell. The energy comes out at -5.0435 eV per atom. Its volume is 23.6 Å³ per atom. The calculation puts the distance to the lowest polymorph of the same formula at 0 meV per atom.

a = 9.2082 Å, b = 9.2082 Å, c = 9.2082 Å
α = 21.83°, β = 21.83°, γ = 21.83°
Site moments in Bohr magnetons follow the coordinates.
Sites, in units of the cell vectors:
Sc 0.5000 0.5000 0.5000  -0.02
Br 0.9023 0.9023 0.9023  -0.01
Br 0.0977 0.0977 0.0977  -0.01
V 0.0000 0.0000 0.0000  2.82

---

11.
This record from Alexandria describes crystalline ScV3Br at its relaxed geometry. The functional is GGA-PBE.

Output
For the magnetic moment, the calculation gives 1.25 μB per cell. The energy comes out at -6.3034 eV per atom. Its volume is 18.5 Å³ per atom. The calculation puts the distance to the lowest polymorph of the same formula at 0 meV per atom.

a = 4.5203 Å, b = 4.5203 Å, c = 4.5203 Å
α = 90.00°, β = 90.00°, γ = 90.00°
Site moments in Bohr magnetons follow the coordinates.
Sites, in units of the cell vectors:
Sc 0.5000 0.5000 0.5000  -0.10
Br 0.0000 0.0000 0.0000  0.01
V 0.0000 0.5000 0.0000  0.43
V 0.0000 0.0000 0.5000  0.43
V 0.5000 0.0000 0.0000  0.43

---

12.
This record from Alexandria describes crystalline Sc2VBr at its relaxed geometry. The functional is GGA-PBE.

Output
For the magnetic moment, the calculation gives 2.33 μB per cell. The energy comes out at -5.9206 eV per atom. Its volume is 23.8 Å³ per atom. The calculation puts the distance to the lowest polymorph of the same formula at 0 meV per atom.

a = 9.4991 Å, b = 9.4991 Å, c = 9.4991 Å
α = 20.88°, β = 20.88°, γ = 20.88°
Site moments in Bohr magnetons follow the coordinates.
Sites, in units of the cell vectors:
Sc 0.9058 0.9058 0.9058  0.12
Sc 0.0942 0.0942 0.0942  0.12
Br 0.0000 0.0000 0.0000  0.00
V 0.5000 0.5000 0.5000  1.80

---

Which of these has the highest energy?
TmScBr6

---

Copy entry 2 word for word.
This record from Alexandria describes crystalline ScUBr6 at its relaxed geometry. The functional is GGA-PBE.

Output
For the magnetic moment, the calculation gives 3.00 μB per cell. The energy comes out at -4.9080 eV per atom. Its volume is 37.1 Å³ per atom.

a = 7.4247 Å, b = 7.4247 Å, c = 6.8766 Å
α = 98.03°, β = 98.03°, γ = 124.75°
Site moments in Bohr magnetons follow the coordinates.
Sites, in units of the cell vectors:
Sc 0.0000 0.0000 0.0000  0.15
U 0.5000 0.5000 0.5000  2.76
Br 0.2428 0.2428 0.7591  -0.01
Br 0.3770 0.0872 0.2338  -0.01
Br 0.7572 0.7572 0.2409  -0.01
Br 0.9128 0.6230 0.7662  -0.01
Br 0.6230 0.9128 0.7662  -0.01
Br 0.0872 0.3770 0.2338  -0.01

---

Copy entry 5 word for word.
This record from Alexandria describes crystalline ScV2Br6 at its relaxed geometry. The functional is GGA-PBE.

Output
For the magnetic moment, the calculation gives 10.03 μB per cell. The energy comes out at -4.7950 eV per atom. Its volume is 26.9 Å³ per atom.

a = 6.7677 Å, b = 9.1339 Å, c = 9.1339 Å
α = 78.63°, β = 68.00°, γ = 68.00°
Site moments in Bohr magnetons follow the coordinates.
Sites, in units of the cell vectors:
Sc 0.2500 0.0858 0.9142  -0.37
Sc 0.7500 0.9142 0.0858  -0.37
V 0.9949 0.6692 0.8333  2.43
V 0.5051 0.1667 0.3308  2.43
V 0.0051 0.3308 0.1667  2.43
V 0.4949 0.8333 0.6692  2.43
Br 0.2902 0.7109 0.5693  -0.01
Br 0.2098 0.4307 0.2891  -0.01
Br 0.7098 0.2891 0.4307  -0.01
Br 0.7902 0.5693 0.7109  -0.01
Br 0.7767 0.8812 0.3810  -0.01
Br 0.7233 0.6190 0.1188  -0.01
Br 0.2233 0.1188 0.6190  -0.01
Br 0.2767 0.3810 0.8812  -0.01
Br 0.2156 0.7851 0.9628  -0.01
Br 0.2844 0.0372 0.2149  -0.01
Br 0.7844 0.2149 0.0372  -0.01
Br 0.7156 0.9628 0.7851  -0.01